Arrangement i

Crystalline Tl2AgW at its relaxed geometry, computed with PBEsol.

Cell: 3.0460 3.0460 10.2001 Å, 81.41 81.41 60.00°
Closest atoms and distances in Å follow each position.
Atoms (fractional coordinates):
Ag  0.2438  0.2438  0.2686  3 W 2.81, 6 Ag 3.05, 3 Tl 3.09
Tl  0.9946  0.9946  0.0162  9 Tl 3.05-3.38, 3 Ag 3.09
Tl  0.7570  0.7570  0.7289  3 W 3.01, 6 Tl 3.05
W  0.5046  0.5046  0.4863  3 Ag 2.81, 3 Tl 3.01, 6 W 3.05

## Properties
- Total moment: 0.00 μB per cell
- N(E_F): 0.55 states/eV per atom

***

Arrangement ii

Crystalline Tl2AgW at its relaxed geometry, computed with PBEsol.

Cell: 2.9528 5.0000 5.6495 Å, 99.91 90.00 107.17°
Closest atoms and distances in Å follow each position.
Atoms (fractional coordinates):
Ag  0.0000  0.0000  0.5000  2 Ag 2.95, 6 Tl 2.96-3.00, 4 W 3.19
Tl  0.7507  0.5015  0.7566  3 W 2.93-2.97, 6 Tl 2.95-3.25, 3 Ag 2.96-3.00
Tl  0.2493  0.4985  0.2434  3 W 2.93-2.97, 6 Tl 2.95-3.25, 3 Ag 2.96-3.00
W  0.5000  0.0000  0.0000  6 Tl 2.93-2.97, 2 W 2.95, 4 Ag 3.19

## Properties
- Total moment: 0.00 μB per cell
- N(E_F): 0.60 states/eV per atom

***

Energy relative to the most stable one, in meV per atom: arrangement i 0; arrangement ii 153

***

Arrangement i

Crystalline Y2TlAg at its relaxed geometry, computed with PBEsol.

Cell: 5.1781 5.1781 5.1781 Å, 60.00 60.00 60.00°
Closest atoms and distances in Å follow each position.
Atoms (fractional coordinates):
Y  0.2500  0.2500  0.2500  4 Ag 3.17, 4 Tl 3.17
Y  0.7500  0.7500  0.7500  4 Ag 3.17, 4 Tl 3.17
Tl  0.0000  0.0000  0.0000  8 Y 3.17
Ag  0.5000  0.5000  0.5000  8 Y 3.17

## Properties
- Total moment: 0.00 μB per cell
- N(E_F): 0.69 states/eV per atom

***

Arrangement ii

Crystalline Y2TlAg at its relaxed geometry, computed with PBEsol.

Cell: 3.6027 3.6027 7.5336 Å, 90.00 90.00 90.00°
Closest atoms and distances in Å follow each position.
Atoms (fractional coordinates):
Y  0.0000  0.0000  0.7639  4 Ag 3.11, 4 Tl 3.23
Y  0.0000  0.0000  0.2361  4 Ag 3.11, 4 Tl 3.23
Tl  0.5000  0.5000  0.5000  8 Y 3.23, 4 Tl 3.60
Ag  0.5000  0.5000  0.0000  8 Y 3.11

## Properties
- Total moment: 0.00 μB per cell
- N(E_F): 0.80 states/eV per atom

***

Arrangement iii

Crystalline Y2TlAg at its relaxed geometry, computed with PBEsol.

Cell: 3.7602 4.7087 5.9892 Å, 90.00 107.83 90.00°
Closest atoms and distances in Å follow each position.
Atoms (fractional coordinates):
Y  0.0222  0.0000  0.9227  3 Ag 3.08-3.23, 4 Tl 3.11-3.12
Y  0.7289  0.5000  0.3292  3 Tl 3.10-3.21, 4 Ag 3.11
Tl  0.4533  0.5000  0.7851  2 Ag 2.99, 7 Y 3.10-3.21
Ag  0.2955  0.0000  0.4630  2 Tl 2.99, 7 Y 3.08-3.23

## Properties
- Total moment: 0.00 μB per cell
- N(E_F): 0.94 states/eV per atom

***

Energy relative to the most stable one, in meV per atom: arrangement i 0; arrangement ii 9; arrangement iii 51